First-principles (PBE-GGA) data for an optimized crystal structure of Ca4Pa3RuN8, as listed in Alexandria via LeMat-Bulk.

Cell lengths 6.904, 6.958, 6.904 Å; angles 119.74, 120.00, 90.00 degrees
Element x y z (fractional)
Ca 0.500 0.000 0.500
Ca 0.000 0.000 0.500
Ca 0.000 0.000 0.000
Ca 0.500 0.000 0.000
Ru 0.000 0.500 0.000
N 0.259 0.278 0.518
N 0.273 0.281 0.027
N 0.246 0.719 0.973
N 0.754 0.280 0.508
N 0.741 0.722 0.482
N 0.727 0.719 0.973
N 0.246 0.720 0.492
N 0.754 0.281 0.027
Pa 0.500 0.500 0.000
Pa 0.500 0.500 0.500
Pa 0.000 0.500 0.500

Output
- Density of states at the Fermi level: 0.38 states/eV per atom
- Symmetry: R-3m (166)
- Raw formation energy: -1210 meV per atom
- Total magnetization: 0.002 μB per formula unit